Record 1
First-principles (GGA-PBEsol) data for KCdSnAu2 after structural relaxation, as listed in Alexandria.

Properties
N(E_F) in states/eV/atom: 0.512
Energy of formation in eV per formula unit: 1.7
Magnetization in μB per formula unit: 0.0

Cell lengths 5.139, 5.139, 6.441 Å; angles 90.00, 90.00, 90.00 degrees
Element x y z (fractional)
K1 0.000 0.000 0.500
Au1 0.000 0.500 0.000
Au2 0.500 0.000 0.000
Sn1 0.000 0.000 0.000
Cd1 0.500 0.500 0.500

---

Record 2
First-principles (GGA-PBEsol) data for AlAg7 after structural relaxation, as listed in Alexandria.

Properties
N(E_F) in states/eV/atom: 0.279
Energy of formation in eV per formula unit: -0.3
Magnetization in μB per formula unit: 0.0

Cell lengths 2.886, 5.740, 7.912 Å; angles 90.00, 90.00, 90.00 degrees
Element x y z (fractional)
Al1 0.500 0.500 0.000
Ag1 0.000 0.745 0.756
Ag2 0.500 0.000 0.000
Ag3 0.000 0.255 0.244
Ag4 0.500 0.500 0.500
Ag5 0.000 0.745 0.244
Ag6 0.500 0.000 0.500
Ag7 0.000 0.255 0.756

---

Record 3
First-principles (GGA-PBEsol) data for BaCd3Pd after structural relaxation, as listed in Alexandria.

Properties
N(E_F) in states/eV/atom: 0.594
Energy of formation in eV per formula unit: -1.4
Magnetization in μB per formula unit: 0.0

Cell lengths 5.173, 5.173, 5.173 Å; angles 90.00, 90.00, 90.00 degrees
Element x y z (fractional)
Ba1 0.500 0.500 0.500
Pd1 0.000 0.000 0.000
Cd1 0.000 0.500 0.000
Cd2 0.000 0.000 0.500
Cd3 0.500 0.000 0.000

---

Record 4
First-principles (GGA-PBEsol) data for CaBe2Sb2 after structural relaxation, as listed in Alexandria.

Properties
N(E_F) in states/eV/atom: 0.154
Energy relative to the elements, uncorrected in eV/atom: -0.201
Magnetization in μB per formula unit: 0.0

Cell lengths 3.935, 3.935, 7.390 Å; angles 105.44, 105.44, 90.00 degrees
Element x y z (fractional)
Sb1 0.364 0.364 0.727
Sb2 0.636 0.636 0.273
Ca1 0.000 0.000 0.000
Be1 0.250 0.750 0.500
Be2 0.750 0.250 0.500

---

Record 5
First-principles (GGA-PBEsol) data for ZnSiB2N after structural relaxation, as listed in Alexandria.

Properties
N(E_F) in states/eV/atom: 0.475
Energy relative to the elements, uncorrected in eV/atom: 2.025
Magnetization in μB per formula unit: 0.0

Cell lengths 3.787, 3.787, 4.293 Å; angles 90.00, 90.00, 90.00 degrees
Element x y z (fractional)
Zn1 0.000 0.000 0.000
B1 0.000 0.500 0.000
B2 0.500 0.000 0.000
Si1 0.500 0.500 0.500
N1 0.000 0.000 0.500

---

Record 6
First-principles (GGA-PBEsol) data for BaSrI4 after structural relaxation, as listed in Alexandria.

Properties
N(E_F) in states/eV/atom: 0.000
Energy relative to the elements, uncorrected in eV/atom: -1.701
Magnetization in μB per formula unit: 0.0

Cell lengths 8.307, 8.619, 9.035 Å; angles 112.35, 111.05, 102.15 degrees
Element x y z (fractional)
Ba1 0.769 0.019 0.039
Ba2 0.231 0.981 0.961
Sr1 0.620 0.370 0.739
Sr2 0.380 0.630 0.261
I1 0.616 0.375 0.120
I2 0.619 0.057 0.361
I3 0.757 0.696 0.639
I4 0.004 0.745 0.120
I5 0.996 0.255 0.880
I6 0.243 0.304 0.361
I7 0.381 0.943 0.639
I8 0.384 0.625 0.880

---

Record 7
First-principles (GGA-PBEsol) data for TaIrBr2 after structural relaxation, as listed in Alexandria.

Properties
N(E_F) in states/eV/atom: 0.423
Energy relative to the elements, uncorrected in eV/atom: 0.784
Magnetization in μB per formula unit: 0.0

Cell lengths 3.232, 3.232, 6.404 Å; angles 90.00, 90.00, 90.00 degrees
Element x y z (fractional)
Ir1 0.500 0.500 0.000
Br1 0.000 0.000 0.739
Br2 0.000 0.000 0.261
Ta1 0.500 0.500 0.500

---

Record 8
First-principles (GGA-PBEsol) data for MnCr2As after structural relaxation, as listed in Alexandria.

Properties
N(E_F) in states/eV/atom: 1.194
Energy of formation in eV per formula unit: 0.1
Magnetization in μB per formula unit: 0.1

Cell lengths 4.024, 4.024, 4.024 Å; angles 60.00, 60.00, 60.00 degrees
Last column: magnetic moment on the atom in μB.
Element x y z (fractional)
As1 0.500 0.500 0.500  0.03
Cr1 0.000 0.000 0.000  1.43
Cr2 0.750 0.750 0.750  -0.78
Mn1 0.250 0.250 0.250  -0.59

---

Record 9
First-principles (GGA-PBEsol) data for Al4CrAs after structural relaxation, as listed in Alexandria.

Properties
N(E_F) in states/eV/atom: 0.527
Energy of formation in eV per formula unit: 1.9
Magnetization in μB per formula unit: 1.7

Cell lengths 5.128, 5.128, 5.128 Å; angles 60.00, 60.00, 60.00 degrees
Last column: magnetic moment on the atom in μB.
Element x y z (fractional)
Cr1 0.000 0.000 0.000  2.17
As1 0.250 0.250 0.250  -0.05
Al1 0.626 0.626 0.626  -0.04
Al2 0.626 0.123 0.626  -0.04
Al3 0.123 0.626 0.626  -0.04
Al4 0.626 0.626 0.123  -0.04

---

Record 10
First-principles (GGA-PBEsol) data for ScCuP2 after structural relaxation, as listed in Alexandria.

Properties
N(E_F) in states/eV/atom: 0.384
Energy of formation in eV per formula unit: -2.5
Magnetization in μB per formula unit: 0.0

Cell lengths 3.436, 3.632, 5.031 Å; angles 90.00, 90.01, 90.00 degrees
Element x y z (fractional)
Cu1 0.000 0.500 0.500
P1 0.000 0.000 0.780
P2 0.000 0.000 0.220
Sc1 0.500 0.500 0.000

---

Record 11
First-principles (GGA-PBEsol) data for Cs3H5Pd after structural relaxation, as listed in Alexandria.

Properties
N(E_F) in states/eV/atom: 0.000
Magnetization in μB per formula unit: 0.0
DFT total energy in eV/atom: -3.07

Cell lengths 6.146, 7.906, 7.906 Å; angles 90.00, 90.00, 90.00 degrees
Element x y z (fractional)
Cs1 0.000 0.500 0.500
Cs2 0.000 0.000 0.000
Cs3 0.500 0.184 0.684
Cs4 0.500 0.816 0.316
Cs5 0.500 0.684 0.816
Cs6 0.500 0.316 0.184
H1 0.500 0.500 0.500
H2 0.500 0.000 0.000
H3 0.813 0.606 0.106
H4 0.813 0.394 0.894
H5 0.813 0.106 0.394
H6 0.813 0.894 0.606
H7 0.187 0.394 0.894
H8 0.187 0.606 0.106
H9 0.187 0.894 0.606
H10 0.187 0.106 0.394
Pd1 0.000 0.500 0.000
Pd2 0.000 0.000 0.500

---

Record 12
First-principles (GGA-PBEsol) data for LaAl2Pd after structural relaxation, as listed in Alexandria.

Properties
N(E_F) in states/eV/atom: 0.598
Energy of formation in eV per formula unit: -1.2
Magnetization in μB per formula unit: 0.0

Cell lengths 4.842, 4.842, 9.102 Å; angles 105.42, 105.42, 90.00 degrees
Element x y z (fractional)
Al1 0.581 0.875 0.250
Al2 0.669 0.375 0.250
Al3 0.125 0.331 0.750
Al4 0.625 0.419 0.750
Pd1 0.750 0.250 0.500
Pd2 0.500 0.500 0.000
La1 0.250 0.750 0.500
La2 0.000 0.000 0.000

---

Record 13
First-principles (GGA-PBEsol) data for RbB3Se after structural relaxation, as listed in Alexandria.

Properties
N(E_F) in states/eV/atom: 0.643
Energy relative to the elements, uncorrected in eV/atom: 3.364
Magnetization in μB per formula unit: 0.5

Cell lengths 4.904, 4.904, 4.904 Å; angles 90.00, 90.00, 90.00 degrees
Last column: magnetic moment on the atom in μB.
Element x y z (fractional)
B1 0.000 0.500 0.000  0.08
B2 0.000 0.000 0.500  0.08
B3 0.500 0.000 0.000  0.08
Rb1 0.000 0.000 0.000  -0.02
Se1 0.500 0.500 0.500  0.06

---

Record 14
First-principles (GGA-PBEsol) data for InSiAg2 after structural relaxation, as listed in Alexandria.

Properties
N(E_F) in states/eV/atom: 0.312
Energy relative to the elements, uncorrected in eV/atom: 0.190
Magnetization in μB per formula unit: 0.0

Cell lengths 2.923, 5.104, 5.104 Å; angles 110.49, 90.00, 90.00 degrees
Element x y z (fractional)
Ag1 0.000 0.500 0.000
Ag2 0.000 0.000 0.500
In1 0.500 0.000 0.000
Si1 0.500 0.500 0.500

---

Record 15
First-principles (GGA-PBEsol) data for Rb2SeS2 after structural relaxation, as listed in Alexandria.

Properties
N(E_F) in states/eV/atom: 0.095
Energy relative to the elements, uncorrected in eV/atom: -0.564
Magnetization in μB per formula unit: 0.0

Cell lengths 5.035, 7.166, 7.166 Å; angles 90.00, 90.00, 90.00 degrees
Element x y z (fractional)
S1 0.000 0.335 0.835
S2 0.000 0.835 0.665
S3 0.000 0.665 0.165
S4 0.000 0.165 0.335
Se1 0.000 0.000 0.000
Se2 0.000 0.500 0.500
Rb1 0.500 0.157 0.657
Rb2 0.500 0.657 0.843
Rb3 0.500 0.843 0.343
Rb4 0.500 0.343 0.157

---

Record 16
First-principles (GGA-PBEsol) data for NbF4 after structural relaxation, as listed in Alexandria.

Properties
N(E_F) in states/eV/atom: 0.486
Energy relative to the elements, uncorrected in eV/atom: -2.825
Magnetization in μB per formula unit: 0.6

Cell lengths 4.090, 4.090, 4.964 Å; angles 114.33, 114.33, 90.00 degrees
Last column: magnetic moment on the atom in μB.
Element x y z (fractional)
Nb1 0.000 0.000 0.000  0.55
F1 0.236 0.236 0.472  0.00
F2 0.500 0.000 0.000  0.01
F3 0.000 0.500 0.000  0.01
F4 0.764 0.764 0.528  0.00

---

Record 17
First-principles (GGA-PBEsol) data for Cr2CdO4 after structural relaxation, as listed in Alexandria.

Properties
Energy relative to the elements, uncorrected in eV/atom: -1.692
Magnetization in μB per formula unit: 6.0

Cell lengths 6.072, 6.072, 6.072 Å; angles 60.00, 60.00, 60.00 degrees
Last column: magnetic moment on the atom in μB.
Element x y z (fractional)
Cr1 0.625 0.125 0.125  2.86
Cr2 0.125 0.125 0.125  2.86
Cr3 0.125 0.625 0.125  2.86
Cr4 0.125 0.125 0.625  2.86
Cd1 0.500 0.500 0.500  0.03
Cd2 0.750 0.750 0.750  0.03
O1 0.894 0.894 0.317  -0.01
O2 0.356 0.933 0.356  -0.01
O3 0.933 0.356 0.356  -0.01
O4 0.356 0.356 0.356  -0.01
O5 0.317 0.894 0.894  -0.01
O6 0.894 0.894 0.894  -0.01
O7 0.356 0.356 0.933  -0.01
O8 0.894 0.317 0.894  -0.01

---

Record 18
First-principles (GGA-PBEsol) data for MoRuSe3 after structural relaxation, as listed in Alexandria.

Properties
N(E_F) in states/eV/atom: 1.475
Energy relative to the elements, uncorrected in eV/atom: 1.021
Magnetization in μB per formula unit: 2.7

Cell lengths 4.815, 4.815, 4.815 Å; angles 90.00, 90.00, 90.00 degrees
Last column: magnetic moment on the atom in μB.
Element x y z (fractional)
Ru1 0.500 0.500 0.500  2.47
Mo1 0.000 0.000 0.000  -0.25
Se1 0.000 0.500 0.000  0.07
Se2 0.000 0.000 0.500  0.07
Se3 0.500 0.000 0.000  0.07

---

Record 19
First-principles (GGA-PBEsol) data for CaBeHg2Br after structural relaxation, as listed in Alexandria.

Properties
N(E_F) in states/eV/atom: 0.574
Energy relative to the elements, uncorrected in eV/atom: 0.378
Magnetization in μB per formula unit: 0.0

Cell lengths 4.134, 6.029, 6.029 Å; angles 90.00, 90.00, 90.00 degrees
Element x y z (fractional)
Be1 0.500 0.000 0.000
Ca1 0.500 0.500 0.500
Hg1 0.000 0.000 0.500
Hg2 0.000 0.500 0.000
Br1 0.000 0.000 0.000

---

Record 20
First-principles (GGA-PBEsol) data for ZnCrSCl2 after structural relaxation, as listed in Alexandria.

Properties
N(E_F) in states/eV/atom: 0.682
Energy relative to the elements, uncorrected in eV/atom: 0.021
Magnetization in μB per formula unit: 4.0

Cell lengths 4.616, 4.616, 4.852 Å; angles 90.00, 90.00, 90.00 degrees
Last column: magnetic moment on the atom in μB.
Element x y z (fractional)
Cr1 0.500 0.500 0.500  4.06
Zn1 0.000 0.000 0.000  0.00
S1 0.000 0.000 0.500  -0.26
Cl1 0.000 0.500 0.000  -0.03
Cl2 0.500 0.000 0.000  -0.03